## SmTiSn2 (PBE)

Data for an optimized crystal structure of SmTiSn2.

Unit cell a=6.0597 b=6.0597 c=6.0597 alpha=44.95 beta=44.95 gamma=44.95
With the nearest neighbours (Å) after each atom.
Positions (direct):
Sm (0.0000, 0.0000, 0.0000)  6 Sn 3.15
Ti (0.5000, 0.5000, 0.5000)  6 Sn 2.88
Sn (0.2315, 0.2315, 0.2315)  3 Ti 2.88, 3 Sm 3.15
Sn (0.7685, 0.7685, 0.7685)  3 Ti 2.88, 3 Sm 3.15

Properties
Magnetization = 0.000 μB per atom
Energy relative to the lowest polymorph listed for this composition = 0.00 eV/f.u.
DFT total energy = -5.551 eV per atom

***

## SmTiSn3 (PBE)

Data for an optimized crystal structure of SmTiSn3.

Unit cell a=13.7595 b=5.9729 c=6.1760 alpha=90.00 beta=90.00 gamma=90.00
With the nearest neighbours (Å) after each atom.
Positions (direct):
Sm (0.1883, 0.0081, 0.2500)  9 Sn 3.13-3.43
Sm (0.1883, 0.4919, 0.7500)  9 Sn 3.13-3.43
Sm (0.8117, 0.5081, 0.2500)  9 Sn 3.13-3.43
Sm (0.8117, 0.9919, 0.7500)  9 Sn 3.13-3.43
Ti (0.3990, 0.7500, 0.0000)  6 Sn 2.86-3.05, 2 Ti 3.09
Ti (0.3990, 0.7500, 0.5000)  6 Sn 2.86-3.05, 2 Ti 3.09
Ti (0.6010, 0.2500, 0.0000)  6 Sn 2.86-3.05, 2 Ti 3.09
Ti (0.6010, 0.2500, 0.5000)  6 Sn 2.86-3.05, 2 Ti 3.09
Sn (0.0052, 0.7500, 0.0000)  4 Sn 2.99-3.09, 2 Sm 3.33
Sn (0.0052, 0.7500, 0.5000)  4 Sn 2.99-3.09, 2 Sm 3.33
Sn (0.2599, 0.5056, 0.2500)  2 Ti 2.86, 1 Sn 2.97, 2 Sm 3.13-3.16
Sn (0.2599, 0.9944, 0.7500)  2 Ti 2.86, 1 Sn 2.97, 2 Sm 3.13-3.16
Sn (0.4256, 0.1862, 0.2500)  4 Ti 2.89-3.05, 3 Sn 2.97-3.18
Sn (0.4256, 0.3138, 0.7500)  4 Ti 2.89-3.05, 3 Sn 2.97-3.18
Sn (0.5744, 0.6862, 0.2500)  4 Ti 2.89-3.05, 3 Sn 2.97-3.18
Sn (0.5744, 0.8138, 0.7500)  4 Ti 2.89-3.05, 3 Sn 2.97-3.18
Sn (0.7401, 0.0056, 0.2500)  2 Ti 2.86, 1 Sn 2.97, 2 Sm 3.13-3.16
Sn (0.7401, 0.4944, 0.7500)  2 Ti 2.86, 1 Sn 2.97, 2 Sm 3.13-3.16
Sn (0.9948, 0.2500, 0.0000)  4 Sn 2.99-3.09, 2 Sm 3.33
Sn (0.9948, 0.2500, 0.5000)  4 Sn 2.99-3.09, 2 Sm 3.33

Properties
Magnetization = 0.000 μB per atom
DFT total energy = -5.303 eV per atom

***

## SmTiSn (PBE)

Data for an optimized crystal structure of SmTiSn.

Unit cell a=4.3081 b=4.3081 c=8.1502 alpha=90.00 beta=90.00 gamma=90.00
With the nearest neighbours (Å) after each atom.
Positions (direct):
Sm (0.2500, 0.2500, 0.1573)  5 Sn 3.16-3.39, 4 Ti 3.53
Sm (0.7500, 0.7500, 0.8427)  5 Sn 3.16-3.39, 4 Ti 3.53
Ti (0.2500, 0.7500, 0.5000)  4 Sn 2.92, 4 Ti 3.05
Ti (0.7500, 0.2500, 0.5000)  4 Sn 2.92, 4 Ti 3.05
Sn (0.2500, 0.2500, 0.7418)  4 Ti 2.92, 4 Sm 3.16
Sn (0.7500, 0.7500, 0.2582)  4 Ti 2.92, 4 Sm 3.16

Properties
Magnetization = 0.335 μB per atom
DFT total energy = -6.028 eV per atom

***

## Sm12Tl6Sn (PBE)

Data for an optimized crystal structure of Sm12Tl6Sn.

Unit cell a=9.0512 b=9.0512 c=9.0512 alpha=107.77 beta=107.77 gamma=107.77
With the nearest neighbours (Å) after each atom.
Positions (direct):
Sm (0.0261, 0.3379, 0.8778)  3 Tl 3.15-3.35, 3 Sm 3.35-3.52, 1 Sn 3.52
Sm (0.0774, 0.3985, 0.3168)  3 Tl 3.16-3.30, 2 Sm 3.40-3.52
Sm (0.1222, 0.9739, 0.6621)  3 Tl 3.15-3.35, 3 Sm 3.35-3.52, 1 Sn 3.52
Sm (0.3168, 0.0774, 0.3985)  3 Tl 3.16-3.30, 2 Sm 3.40-3.52
Sm (0.3379, 0.8778, 0.0261)  3 Tl 3.15-3.35, 3 Sm 3.35-3.52, 1 Sn 3.52
Sm (0.3985, 0.3168, 0.0774)  3 Tl 3.16-3.30, 2 Sm 3.40-3.52
Sm (0.6015, 0.6832, 0.9226)  3 Tl 3.16-3.30, 2 Sm 3.40-3.52
Sm (0.6621, 0.1222, 0.9739)  3 Tl 3.15-3.35, 3 Sm 3.35-3.52, 1 Sn 3.52
Sm (0.6832, 0.9226, 0.6015)  3 Tl 3.16-3.30, 2 Sm 3.40-3.52
Sm (0.8778, 0.0261, 0.3379)  3 Tl 3.15-3.35, 3 Sm 3.35-3.52, 1 Sn 3.52
Sm (0.9226, 0.6015, 0.6832)  3 Tl 3.16-3.30, 2 Sm 3.40-3.52
Sm (0.9739, 0.6621, 0.1222)  3 Tl 3.15-3.35, 3 Sm 3.35-3.52, 1 Sn 3.52
Tl (0.2441, 0.3557, 0.6658)  6 Sm 3.15-3.35
Tl (0.3342, 0.7559, 0.6443)  6 Sm 3.15-3.35
Tl (0.3557, 0.6658, 0.2441)  6 Sm 3.15-3.35
Tl (0.6443, 0.3342, 0.7559)  6 Sm 3.15-3.35
Tl (0.6658, 0.2441, 0.3557)  6 Sm 3.15-3.35
Tl (0.7559, 0.6443, 0.3342)  6 Sm 3.15-3.35
Sn (0.0000, 0.0000, 0.0000)  12 Sm 3.52-3.56

Properties
Magnetization = 0.000 μB per atom
DFT total energy = -4.069 eV per atom

***

## Sm3Tl2Sn (PBE)

Data for an optimized crystal structure of Sm3Tl2Sn.

Unit cell a=8.8556 b=8.8556 c=6.5986 alpha=101.47 beta=101.47 gamma=43.23
With the nearest neighbours (Å) after each atom.
Positions (direct):
Sm (0.1395, 0.8605, 0.7500)  4 Tl 3.24-3.48, 4 Sn 3.26-3.60, 2 Sm 3.56
Sm (0.2156, 0.4479, 0.4060)  4 Tl 3.16-3.46, 1 Sn 3.16
Sm (0.4479, 0.2156, 0.9060)  4 Tl 3.16-3.46, 1 Sn 3.16
Sm (0.5521, 0.7844, 0.0940)  4 Tl 3.16-3.46, 1 Sn 3.16
Sm (0.7844, 0.5521, 0.5940)  4 Tl 3.16-3.46, 1 Sn 3.16
Sm (0.8605, 0.1395, 0.2500)  4 Tl 3.24-3.48, 4 Sn 3.26-3.60, 2 Sm 3.56
Tl (0.0492, 0.2829, 0.0611)  6 Sm 3.16-3.48, 1 Sn 3.44, 1 Tl 3.50
Tl (0.2829, 0.0492, 0.5611)  6 Sm 3.16-3.48, 1 Sn 3.44, 1 Tl 3.50
Tl (0.7171, 0.9508, 0.4389)  6 Sm 3.16-3.48, 1 Sn 3.44, 1 Tl 3.50
Tl (0.9508, 0.7171, 0.9389)  6 Sm 3.16-3.48, 1 Sn 3.44, 1 Tl 3.50
Sn (0.3604, 0.6396, 0.2500)  4 Sm 3.16-3.26, 2 Tl 3.44
Sn (0.6396, 0.3604, 0.7500)  4 Sm 3.16-3.26, 2 Tl 3.44

Properties
Magnetization = 0.000 μB per atom
Energy relative to the lowest polymorph listed for this composition = 0.15 eV/f.u.
DFT total energy = -4.272 eV per atom

***

## Sm2TlSn9 (PBE)

Data for an optimized crystal structure of Sm2TlSn9.

Unit cell a=4.6766 b=4.6766 c=15.0408 alpha=90.00 beta=90.00 gamma=90.00
With the nearest neighbours (Å) after each atom.
Positions (direct):
Sm (0.0000, 0.0000, 0.1534)  12 Sn 3.29-3.52
Sm (0.0000, 0.0000, 0.8466)  12 Sn 3.29-3.52
Tl (0.0000, 0.0000, 0.5000)  12 Sn 3.31-3.48
Sn (0.0000, 0.5000, 0.0000)  4 Sm 3.29, 8 Sn 3.31-3.44
Sn (0.0000, 0.5000, 0.3286)  8 Sn 3.31-3.48, 2 Tl 3.48, 2 Sm 3.52
Sn (0.0000, 0.5000, 0.6714)  8 Sn 3.31-3.48, 2 Tl 3.48, 2 Sm 3.52
Sn (0.5000, 0.0000, 0.0000)  4 Sm 3.29, 8 Sn 3.31-3.44
Sn (0.5000, 0.0000, 0.3286)  8 Sn 3.31-3.48, 2 Tl 3.48, 2 Sm 3.52
Sn (0.5000, 0.0000, 0.6714)  8 Sn 3.31-3.48, 2 Tl 3.48, 2 Sm 3.52
Sn (0.5000, 0.5000, 0.1680)  4 Sm 3.31, 8 Sn 3.36-3.44
Sn (0.5000, 0.5000, 0.5000)  4 Tl 3.31, 8 Sn 3.48
Sn (0.5000, 0.5000, 0.8320)  4 Sm 3.31, 8 Sn 3.36-3.44

Properties
Magnetization = 0.000 μB per atom
DFT total energy = -4.281 eV per atom

***

## Sm2Tl3Sn3 (PBE)

Data for an optimized crystal structure of Sm2Tl3Sn3.

Unit cell a=4.6698 b=4.7326 c=9.8780 alpha=90.00 beta=90.00 gamma=90.00
With the nearest neighbours (Å) after each atom.
Positions (direct):
Sm (0.0000, 0.0000, 0.2386)  6 Sn 3.32-3.48, 6 Tl 3.33-3.50
Sm (0.0000, 0.0000, 0.7614)  6 Sn 3.32-3.48, 6 Tl 3.33-3.50
Tl (0.0000, 0.5000, 0.5000)  4 Sn 3.32, 4 Tl 3.40, 4 Sm 3.50
Tl (0.5000, 0.5000, 0.2504)  4 Sm 3.33, 2 Tl 3.40, 6 Sn 3.40-3.42
Tl (0.5000, 0.5000, 0.7496)  4 Sm 3.33, 2 Tl 3.40, 6 Sn 3.40-3.42
Sn (0.0000, 0.5000, 0.0000)  4 Sn 3.32, 4 Sm 3.34, 4 Tl 3.40
Sn (0.5000, 0.0000, 0.0000)  4 Sm 3.32, 4 Sn 3.32, 4 Tl 3.42
Sn (0.5000, 0.0000, 0.5000)  8 Tl 3.32-3.42, 4 Sm 3.48

Properties
Magnetization = 0.000 μB per atom
DFT total energy = -3.958 eV per atom

***

## Sm2TlSn (PBE)

Data for an optimized crystal structure of Sm2TlSn.

Unit cell a=5.0884 b=5.0884 c=4.3749 alpha=90.00 beta=90.00 gamma=90.00
With the nearest neighbours (Å) after each atom.
Positions (direct):
Sm (0.0000, 0.5000, 0.0000)  4 Tl 3.36, 4 Sn 3.36, 4 Sm 3.60
Sm (0.5000, 0.0000, 0.0000)  4 Tl 3.36, 4 Sn 3.36, 4 Sm 3.60
Tl (0.0000, 0.0000, 0.5000)  8 Sm 3.36, 4 Sn 3.60
Sn (0.5000, 0.5000, 0.5000)  8 Sm 3.36, 4 Tl 3.60

Properties
Magnetization = 0.000 μB per atom
DFT total energy = -4.487 eV per atom

***

- What is the formula in the third record?
  SmTiSn

***

- The highest magnetization belongs to which entry?
  SmTiSn